Entry 1:
Below is a relaxed structure of Ta2NbHRu, with properties calculated at the PBE level.

Summary:
uncorrected energy	-46.9	eV per formula unit
DOS at the Fermi energy	3.11	states/eV/cell
calculated volume	70.9	Å³/cell

Cell lengths 4.5012, 4.5012, 3.5004 Å; angles 90.00, 90.00, 90.00 degrees
With the nearest neighbours (Å) after each atom.
Space group P4/mmm (No. 123)
Symmetry-distinct sites (fractional):
Ta  0.0000  0.5000  0.0000  2 H 2.25
Nb  0.0000  0.0000  0.5000  2 H 1.75
H  0.0000  0.0000  0.0000  2 Nb 1.75
Ru  0.5000  0.5000  0.5000  8 Ta 2.85, 4 Nb 3.18



Entry 2:
Below is a relaxed structure of Ta2NbHRu, with properties calculated at the PBE level.

Summary:
uncorrected energy	-47.1	eV per formula unit
DOS at the Fermi energy	3.23	states/eV/cell
calculated volume	70.9	Å³/cell

Cell lengths 4.5248, 4.5248, 3.4623 Å; angles 90.00, 90.00, 90.00 degrees
With the nearest neighbours (Å) after each atom.
Space group P4/mmm (No. 123)
Symmetry-distinct sites (fractional):
Ta  0.0000  0.5000  0.0000  2 H 2.26
Nb  0.0000  0.0000  0.5000  8 Ta 2.85
H  0.5000  0.5000  0.0000  2 Ru 1.73
Ru  0.5000  0.5000  0.5000  2 H 1.73



Entry 3:
Below is a relaxed structure of NbTc2HRu, with properties calculated at the PBE level.

Summary:
uncorrected energy	-43.7	eV per formula unit
DOS at the Fermi energy	4.82	states/eV/cell
calculated volume	63.1	Å³/cell

Cell lengths 3.9775, 3.9775, 3.9856 Å; angles 90.00, 90.00, 90.00 degrees
With the nearest neighbours (Å) after each atom.
Space group P4/mmm (No. 123)
Symmetry-distinct sites (fractional):
Nb  0.0000  0.0000  0.0000  4 Ru 2.81, 8 Tc 2.82
Tc  0.0000  0.5000  0.5000  2 H 1.99
H  0.5000  0.5000  0.5000  4 Tc 1.99, 2 Ru 1.99
Ru  0.5000  0.5000  0.0000  2 H 1.99



Entry 4:
Below is a relaxed structure of NbTc2HRu, with properties calculated at the PBE level.

Summary:
uncorrected energy	-43.6	eV per formula unit
DOS at the Fermi energy	3.40	states/eV/cell
calculated volume	63.2	Å³/cell

Cell lengths 3.9460, 3.9460, 4.0557 Å; angles 90.00, 90.00, 90.00 degrees
With the nearest neighbours (Å) after each atom.
Space group P4/mmm (No. 123)
Symmetry-distinct sites (fractional):
Nb  0.0000  0.0000  0.0000  2 H 2.03
Tc  0.0000  0.5000  0.5000  2 H 1.97
H  0.0000  0.0000  0.5000  4 Tc 1.97, 2 Nb 2.03
Ru  0.5000  0.5000  0.0000  4 Nb 2.79, 8 Tc 2.83



Entry 5:
Below is a relaxed structure of Nb2TcHRu, with properties calculated at the PBE level.

Summary:
uncorrected energy	-43.8	eV per formula unit
DOS at the Fermi energy	3.07	states/eV/cell
calculated volume	67.5	Å³/cell

Cell lengths 4.3888, 4.3888, 3.5060 Å; angles 90.00, 90.00, 90.00 degrees
With the nearest neighbours (Å) after each atom.
Space group P4/mmm (No. 123)
Symmetry-distinct sites (fractional):
Nb  0.0000  0.5000  0.0000  2 H 2.19
Tc  0.0000  0.0000  0.5000  8 Nb 2.81, 4 Ru 3.10
H  0.5000  0.5000  0.0000  2 Ru 1.75
Ru  0.5000  0.5000  0.5000  2 H 1.75



Entry 6:
Below is a relaxed structure of Nb2TcHRu, with properties calculated at the PBE level.

Summary:
uncorrected energy	-43.7	eV per formula unit
DOS at the Fermi energy	4.83	states/eV/cell
calculated volume	67.6	Å³/cell

Cell lengths 4.3604, 4.3604, 3.5577 Å; angles 90.00, 90.00, 90.00 degrees
With the nearest neighbours (Å) after each atom.
Space group P4/mmm (No. 123)
Symmetry-distinct sites (fractional):
Nb  0.0000  0.5000  0.0000  2 H 2.18
Tc  0.0000  0.0000  0.5000  2 H 1.78
H  0.0000  0.0000  0.0000  2 Tc 1.78
Ru  0.5000  0.5000  0.5000  8 Nb 2.81, 4 Tc 3.08



Entry 7:
Below is a relaxed structure of Ti2NbHRu, with properties calculated at the PBE level.

Summary:
uncorrected energy	-39.7	eV per formula unit
DOS at the Fermi energy	6.36	states/eV/cell
calculated volume	67.1	Å³/cell

Cell lengths 4.4073, 4.4073, 3.4528 Å; angles 90.00, 90.00, 90.00 degrees
With the nearest neighbours (Å) after each atom.
Space group P4/mmm (No. 123)
Symmetry-distinct sites (fractional):
Ti  0.0000  0.5000  0.0000  2 H 2.20
Nb  0.0000  0.0000  0.5000  8 Ti 2.80, 4 Ru 3.12
H  0.5000  0.5000  0.0000  2 Ru 1.73
Ru  0.5000  0.5000  0.5000  2 H 1.73



Entry 8:
Below is a relaxed structure of TiNbHRu2, with properties calculated at the PBE level.

Summary:
uncorrected energy	-41.0	eV per formula unit
DOS at the Fermi energy	5.62	states/eV/cell
calculated volume	63.9	Å³/cell

Cell lengths 4.1324, 4.1324, 3.7402 Å; angles 90.00, 90.00, 90.00 degrees
With the nearest neighbours (Å) after each atom.
Space group P4/mmm (No. 123)
Symmetry-distinct sites (fractional):
Ti  0.0000  0.0000  0.0000  2 H 1.87
Nb  0.5000  0.5000  0.0000  8 Ru 2.79, 4 Ti 2.92
H  0.0000  0.0000  0.5000  2 Ti 1.87, 4 Ru 2.07
Ru  0.0000  0.5000  0.5000  2 H 2.07